Entry 1:
A relaxed Ac2Sn3HgRh4 crystal, computed with PBE.

Computed properties:
* formation energy from the elements: -0.643 eV/atom
* mass density: 10.27 g cm⁻³
* VASP energy: -56.37 eV per formula unit
* calculated volume: 23.00 Å³/atom

Cell lengths 4.523, 4.523, 11.244 Å; angles 90.00, 90.00, 90.00 degrees
Fractional coordinates of all 10 atoms:
Ac 0.500 0.000 0.251
Ac 0.000 0.500 0.749
Sn 0.000 0.000 0.500
Sn 0.500 0.000 0.877
Sn 0.000 0.500 0.123
Hg 0.500 0.500 0.500
Rh 0.500 0.500 0.000
Rh 0.000 0.000 0.000
Rh 0.500 0.000 0.643
Rh 0.000 0.500 0.357



Entry 2:
A relaxed Ac2Sn4HgRh3 crystal, computed with PBE.

Computed properties:
* formation energy from the elements: -0.625 eV/atom
* mass density: 9.91 g cm⁻³
* VASP energy: -52.84 eV per formula unit
* calculated volume: 24.09 Å³/atom

Cell lengths 4.679, 4.679, 11.008 Å; angles 90.00, 90.00, 90.00 degrees
Fractional coordinates of all 10 atoms:
Ac 0.500 0.000 0.246
Ac 0.000 0.500 0.754
Sn 0.500 0.500 0.000
Sn 0.000 0.000 0.000
Sn 0.500 0.000 0.641
Sn 0.000 0.500 0.359
Hg 0.500 0.500 0.500
Rh 0.000 0.000 0.500
Rh 0.500 0.000 0.878
Rh 0.000 0.500 0.122



Entry 3:
A relaxed SrAcHgRh crystal, computed with PBE.

Computed properties:
* formation energy from the elements: -0.377 eV/atom
* mass density: 9.07 g cm⁻³
* VASP energy: -14.95 eV per formula unit
* energy relative to the lowest polymorph listed for this composition: 132.5 meV/atom
* calculated volume: 28.30 Å³/atom

Cell lengths 5.430, 5.430, 5.430 Å; angles 60.00, 60.00, 60.00 degrees
Fractional coordinates of all 4 atoms:
Sr 0.750 0.750 0.750
Ac 0.250 0.250 0.250
Rh 0.000 0.000 0.000
Hg 0.500 0.500 0.500



Entry 4:
A relaxed SrAcHgRh crystal, computed with PBE.

Computed properties:
* formation energy from the elements: -0.509 eV/atom
* mass density: 8.62 g cm⁻³
* VASP energy: -15.48 eV per formula unit
* energy relative to the lowest polymorph listed for this composition: 0.0 meV/atom
* calculated volume: 29.77 Å³/atom

Cell lengths 4.377, 4.332, 6.652 Å; angles 90.00, 109.21, 90.00 degrees
Fractional coordinates of all 4 atoms:
Sr 0.152 0.000 0.305
Ac 0.869 0.500 0.737
Hg 0.571 0.500 0.141
Rh 0.408 0.000 0.816



Entry 5:
A relaxed AcTbHgRh crystal, computed with PBE.

Computed properties:
* formation energy from the elements: -0.471 eV/atom
* mass density: 10.89 g cm⁻³
* VASP energy: -18.27 eV per formula unit
* calculated volume: 26.27 Å³/atom

Cell lengths 5.297, 5.297, 5.297 Å; angles 60.00, 60.00, 60.00 degrees
Fractional coordinates of all 4 atoms:
Rh 0.750 0.750 0.750
Ac 0.000 0.000 0.000
Tb 0.500 0.500 0.500
Hg 0.250 0.250 0.250



Entry 6:
A relaxed Ac4HgTe2Rh crystal, computed with PBE.

Computed properties:
* mass density: 8.43 g cm⁻³
* VASP energy: -38.35 eV per formula unit
* E_form (uncorrected): -7.98 eV per formula unit
* calculated volume: 36.13 Å³/atom

Cell lengths 4.500, 7.910, 8.499 Å; angles 107.21, 90.00, 90.00 degrees
Fractional coordinates of all 8 atoms:
Ac 0.500 0.265 0.224
Ac 0.500 0.735 0.776
Ac 0.000 0.274 0.784
Ac 0.000 0.726 0.216
Hg 0.000 0.000 0.000
Te 0.500 0.000 0.500
Te 0.000 0.500 0.500
Rh 0.500 0.500 0.000